Computed, not measured: crystalline Li7CdSb4 at its relaxed geometry at the PBE-GGA level of DFT.

Calculated values
Its raw total energy is -2.946 eV per atom. As for the energy relative to the elements, uncorrected: -0.379 eV/atom. The calculation puts the density of states at the Fermi level at 5.38 states/eV per cell. The crystal system is monoclinic.

a b c (Å): 5.097 9.014 6.497
angles (deg): 84.60 66.90 73.58
Fractional coordinates of all 12 atoms:
Li1 0.784 0.902 0.530
Li2 0.216 0.098 0.470
Li3 0.083 0.650 0.184
Li4 0.917 0.350 0.816
Li5 0.356 0.553 0.735
Li6 0.500 0.000 0.000
Li7 0.644 0.447 0.265
Cd1 0.000 0.000 0.000
Sb1 0.571 0.229 0.630
Sb2 0.429 0.771 0.370
Sb3 0.711 0.686 0.892
Sb4 0.289 0.314 0.108